The following is a DFT calculation (GGA+U) of a relaxed MoWNF2 crystal.

abc: 4.2961 4.2961 4.0903
angles: 90.00 90.00 90.00
Last column: nearest neighbours and their distance in Å.
Space group P4/mmm (No. 123)
Inequivalent atoms, fractional coordinates:
Mo 0.0000 0.0000 0.0000 [1 per cell]  8 F 2.97, 4 N 3.04
W 0.5000 0.5000 0.5000 [1 per cell]  2 N 2.05, 4 F 2.15
N 0.5000 0.5000 0.0000 [1 per cell]  2 W 2.05
F 0.0000 0.5000 0.5000 [2 per cell]  2 W 2.15

offset from the most stable computed form	0.000	eV/atom